Here is a geometry-optimized Sr4BiSbO structure from Alexandria via LeMat-Bulk. Energies are from GGA-PBE.

abc: 9.4971 9.4971 7.1125
angles: 90.00 90.00 136.04
Sites, in units of the cell vectors:
Sr: 0.0000 0.5000 0.0000
Sr: 0.0000 0.5000 0.5000
Sr: 0.0762 0.9238 0.7500
Sr: 0.4134 0.5866 0.7500
Sr: 0.5000 0.0000 0.0000
Sr: 0.5000 0.0000 0.5000
Sr: 0.5866 0.4134 0.2500
Sr: 0.9238 0.0762 0.2500
Bi: 0.3905 0.6095 0.2500
Bi: 0.6095 0.3905 0.7500
Sb: 0.1135 0.8865 0.2500
Sb: 0.8865 0.1135 0.7500
O: 0.2584 0.7416 0.7500
O: 0.7416 0.2584 0.2500

Computed properties:
The total energy comes out at -4.342 eV/atom. The uncorrected formation energy comes out at -1.5292 eV per atom. As for the crystal system: orthorhombic.